# 1
## HfBeFe (PBE-GGA)

Data for a relaxed HfBeFe crystal.

It has space group Imma (No. 74), with a = 4.8284 Å, b = 4.9013 Å, c = 6.6432 Å, α = 90.00°, β = 90.00° and γ = 90.00°. The asymmetric unit holds Hf at (0.0000, 0.2500, 0.1298), Be at (0.2500, 0.2500, 0.7500) and Fe at (0.0000, 0.0000, 0.5000).

The theoretical density comes out at 10.28 g cm⁻³. The electronic total energy comes out at -7.626 eV/atom.

***

# 2
## Nb2IrPb2 (PBE-GGA)

Data for a relaxed Nb2IrPb2 crystal.

It has space group I4/mmm (No. 139), with a = 3.6480 Å, b = 3.6480 Å, c = 16.8237 Å, α = 90.00°, β = 90.00° and γ = 90.00°. The asymmetric unit holds Nb at (0.0000, 0.5000, 0.2500), Ir at (0.0000, 0.0000, 0.0000) and Pb at (0.0000, 0.0000, 0.4060).

The theoretical density comes out at 11.75 g cm⁻³. The electronic total energy comes out at -6.456 eV/atom.

***

# 3
## CrTc2Ni (PBE-GGA)

Data for a relaxed CrTc2Ni crystal.

It has space group R3m (No. 160, hexagonal axes), with a = 2.6609 Å, b = 2.6609 Å, c = 25.8396 Å, α = 90.00°, β = 90.00° and γ = 120.00°. The asymmetric unit holds Cr at (0.0000, 0.0000, 0.0000), Tc at (0.0000, 0.0000, 0.5044), Tc at (0.0000, 0.0000, 0.7522) and Ni at (0.0000, 0.0000, 0.2558).

The theoretical density comes out at 9.64 g cm⁻³. The electronic total energy comes out at -8.867 eV/atom.

***

# 4
## Ho2In4Hg (PBE-GGA)

Data for a relaxed Ho2In4Hg crystal.

It has space group Cmmm (No. 65), with a = 7.8803 Å, b = 9.8773 Å, c = 4.8931 Å, α = 90.00°, β = 90.00° and γ = 90.00°. The asymmetric unit holds Ho at (0.0000, 0.2125, 0.0000), In at (0.1932, 0.5000, 0.0000), In at (0.2500, 0.2500, 0.5000) and Hg at (0.0000, 0.0000, 0.5000).

The theoretical density comes out at 8.63 g cm⁻³. The electronic total energy comes out at -3.229 eV/atom.

***

# 5
## Ac2TiPb (PBE-GGA)

Data for a relaxed Ac2TiPb crystal.

It has space group R-3m (No. 166, hexagonal axes), with a = 3.5971 Å, b = 3.5971 Å, c = 36.8923 Å, α = 90.00°, β = 90.00° and γ = 120.00°. The asymmetric unit holds Ac at (0.0000, 0.0000, 0.0862), Ti at (0.0000, 0.0000, 0.0000) and Pb at (0.0000, 0.0000, 0.5000).

The theoretical density comes out at 8.54 g cm⁻³. The electronic total energy comes out at -4.489 eV/atom.

***

# 6
## NiB2W (PBE-GGA)

Data for a relaxed NiB2W crystal.

It has space group Fm-3m (No. 225), with a = 5.3648 Å, b = 5.3648 Å, c = 5.3648 Å, α = 90.00°, β = 90.00° and γ = 90.00°. The asymmetric unit holds Ni at (0.0000, 0.0000, 0.0000), B at (0.2500, 0.2500, 0.2500) and W at (0.0000, 0.0000, 0.5000).

The theoretical density comes out at 11.36 g cm⁻³. The electronic total energy comes out at -7.658 eV/atom.

***

# 7
## InSb2Ru (PBE-GGA)

Data for a relaxed InSb2Ru crystal.

It has space group P4/mmm (No. 123), with a = 4.3701 Å, b = 4.3701 Å, c = 4.6108 Å, α = 90.00°, β = 90.00° and γ = 90.00°. The asymmetric unit holds In at (0.0000, 0.0000, 0.0000), Sb at (0.0000, 0.5000, 0.5000) and Ru at (0.5000, 0.5000, 0.0000).

As for the energy relative to the elements, uncorrected: 0.474 eV per atom. The theoretical density comes out at 8.66 g cm⁻³. The electronic total energy comes out at -4.591 eV/atom.

***

# 8
## MgMnCuIr (PBE-GGA)

Data for a relaxed MgMnCuIr crystal.

It has space group F-43m (No. 216), with a = 6.1347 Å, b = 6.1347 Å, c = 6.1347 Å, α = 90.00°, β = 90.00° and γ = 90.00°. The asymmetric unit holds Mg at (0.0000, 0.0000, 0.0000), Mn at (0.0000, 0.0000, 0.5000), Cu at (0.2500, 0.2500, 0.2500) and Ir at (0.2500, 0.2500, 0.7500).

The theoretical density comes out at 9.64 g cm⁻³. The electronic total energy comes out at -6.048 eV/atom.

***

# 9
## Rb2LiPuCl5 (PBE-GGA)

Data for a relaxed Rb2LiPuCl5 crystal.

It has space group Cmc2_1 (No. 36), with a = 4.2721 Å, b = 18.6478 Å, c = 14.2192 Å, α = 90.00°, β = 90.00° and γ = 90.00°. The asymmetric unit holds Rb at (0.0000, 0.0994, 0.0000), Rb at (0.0000, 0.1287, 0.6569), Li at (0.0000, 0.4456, 0.7562), Pu at (0.0000, 0.1994, 0.3577), Cl at (0.0000, 0.0456, 0.3382), Cl at (0.0000, 0.2916, 0.9914), Cl at (0.0000, 0.3144, 0.7223), Cl at (0.0000, 0.3485, 0.3341) and Cl at (0.0000, 0.4990, 0.1109).

As for the energy relative to the elements, uncorrected: -1.846 eV per atom. The theoretical density comes out at 3.51 g cm⁻³. The electronic total energy comes out at -4.892 eV/atom.

***

# 10
## Tl2CoMo (PBE-GGA)

Data for a relaxed Tl2CoMo crystal.

It has space group Imm2 (No. 44), with a = 3.0615 Å, b = 4.7679 Å, c = 10.8702 Å, α = 90.00°, β = 90.00° and γ = 90.00°. The asymmetric unit holds Tl at (0.0000, 0.0000, 0.0000), Tl at (0.0000, 0.5000, 0.2149), Co at (0.0000, 0.5000, 0.7724) and Mo at (0.0000, 0.0000, 0.4394).

The theoretical density comes out at 11.80 g cm⁻³. The electronic total energy comes out at -4.987 eV/atom.

***

# 11
## NaAcSe (PBE-GGA)

Data for a relaxed NaAcSe crystal.

It has space group I4mm (No. 107), with a = 3.9757 Å, b = 3.9757 Å, c = 14.1912 Å, α = 90.00°, β = 90.00° and γ = 90.00°. The asymmetric unit holds Na at (0.0000, 0.0000, 0.0000), Ac at (0.0000, 0.0000, 0.2794) and Se at (0.0000, 0.0000, 0.6854).

As for the energy relative to the elements, uncorrected: -0.918 eV per atom. The theoretical density comes out at 4.87 g cm⁻³. The electronic total energy comes out at -3.889 eV/atom.

***

# 12
## AgIr2Au (PBE-GGA)

Data for a relaxed AgIr2Au crystal.

It has space group Pmmm (No. 47), with a = 2.7428 Å, b = 4.2792 Å, c = 5.5009 Å, α = 90.00°, β = 90.00° and γ = 90.00°. The asymmetric unit holds Ag at (0.0000, 0.0000, 0.0000), Ir at (0.5000, 0.5000, 0.2488) and Au at (0.0000, 0.0000, 0.5000).

The theoretical density comes out at 17.73 g cm⁻³. The electronic total energy comes out at -5.407 eV/atom.

***

Taking the records one at a time from the top gives M_tot values of 0.22 0.00 0.00 0.00 0.53 0.00 0.00 1.02 0.67 0.28 0.00 0.25 μB per atom.